Below is MnHg6Pd12 after structural relaxation, with properties calculated at the GGA-PBE level.

a = 11.1145 Å, b = 11.1145 Å, c = 9.4439 Å
α = 90.00°, β = 90.00°, γ = 120.00°
Closest atoms and distances in Å follow each position.
Space group R-3 (No. 148, hexagonal axes)
Inequivalent atoms, fractional coordinates:
Mn1 0.0000 0.0000 0.0000 x3  6 Pd 2.80, 6 Hg 2.97
Hg1 0.0880 0.9109 0.7428 x18  7 Pd 2.78-2.96, 2 Hg 2.95, 1 Mn 2.97
Pd1 0.9996 0.2517 0.9997 x18  4 Hg 2.78-2.90, 1 Mn 2.80, 6 Pd 2.80-3.06
Pd2 0.0625 0.5318 0.1218 x18  5 Pd 2.60-2.81, 1 Hg 2.86

- formation energy from the elements (kJ per mole of atoms) = -2
- electronic total energy (eV per atom) = -3.88
- crystal system = trigonal
- V (A^3/atom) = 17.73
- spin magnetization (μB per formula unit) = 4.5

***

Below is MnHg2Pd2 after structural relaxation, with properties calculated at the GGA-PBE level.

a = 7.3883 Å, b = 7.3883 Å, c = 3.4786 Å
α = 90.00°, β = 90.00°, γ = 90.00°
Closest atoms and distances in Å follow each position.
Space group P4/mbm (No. 127)
Inequivalent atoms, fractional coordinates:
Mn1 0.0000 0.0000 0.0000 x2  4 Hg 2.85
Hg1 0.1407 0.3593 0.0000 x4  6 Pd 2.71-2.83, 2 Mn 2.85, 1 Hg 2.94
Pd1 0.1603 0.6603 0.5000 x4  6 Hg 2.71-2.83

- formation energy from the elements (kJ per mole of atoms) = 12
- electronic total energy (eV per atom) = -3.91
- crystal system = tetragonal
- V (A^3/atom) = 18.99
- energy above the most stable polymorph in this dataset (meV per atom) = 142
- spin magnetization (μB per formula unit) = 4.4

***

Below is MnHg4Pd15 after structural relaxation, with properties calculated at the GGA-PBE level.

a = 4.0214 Å, b = 4.0214 Å, c = 20.2986 Å
α = 90.00°, β = 90.00°, γ = 90.00°
Closest atoms and distances in Å follow each position.
Space group P4/mmm (No. 123)
Inequivalent atoms, fractional coordinates:
Mn1 0.0000 0.0000 0.0000 x1  12 Pd 2.76-2.84
Hg1 0.0000 0.0000 0.1958 x2  12 Pd 2.84-2.90
Hg2 0.0000 0.0000 0.3984 x2  12 Pd 2.84-2.88
Pd1 0.0000 0.5000 0.0931 x4  2 Mn 2.76, 8 Pd 2.76-2.88, 2 Hg 2.90
Pd2 0.0000 0.5000 0.2970 x4  8 Pd 2.84-2.90, 4 Hg 2.87-2.88
Pd3 0.0000 0.5000 0.5000 x2  8 Pd 2.84-2.88, 4 Hg 2.88
Pd4 0.5000 0.5000 0.0000 x1  8 Pd 2.76, 4 Mn 2.84
Pd5 0.5000 0.5000 0.1944 x2  4 Hg 2.84, 8 Pd 2.88-2.90
Pd6 0.5000 0.5000 0.3986 x2  4 Hg 2.84, 8 Pd 2.88

- formation energy from the elements (kJ per mole of atoms) = -13
- electronic total energy (eV per atom) = -4.54
- crystal system = tetragonal
- V (A^3/atom) = 16.41
- spin magnetization (μB per formula unit) = 4.4

***

Below is ScMnHgPd after structural relaxation, with properties calculated at the GGA-PBE level.

a = 6.6300 Å, b = 6.6300 Å, c = 6.6300 Å
α = 90.00°, β = 90.00°, γ = 90.00°
Closest atoms and distances in Å follow each position.
Space group F-43m (No. 216)
Inequivalent atoms, fractional coordinates:
Sc1 0.0000 0.0000 0.0000 x4  4 Hg 2.87, 4 Pd 2.87
Mn1 0.0000 0.0000 0.5000 x4  4 Hg 2.87, 4 Pd 2.87
Hg1 0.2500 0.2500 0.7500 x4  4 Mn 2.87, 4 Sc 2.87
Pd1 0.2500 0.2500 0.2500 x4  4 Mn 2.87, 4 Sc 2.87

- formation energy from the elements (kJ per mole of atoms) = -29
- electronic total energy (eV per atom) = -5.55
- crystal system = cubic
- V (A^3/atom) = 18.21
- spin magnetization (μB per formula unit) = 4.1

***

Below is ScMnHg2Pd after structural relaxation, with properties calculated at the GGA-PBE level.

a = 5.4094 Å, b = 5.4094 Å, c = 4.7702 Å
α = 90.00°, β = 90.00°, γ = 90.00°
Closest atoms and distances in Å follow each position.
Space group P4/mmm (No. 123)
Inequivalent atoms, fractional coordinates:
Sc1 0.0000 0.0000 0.0000 x1  2 Pd 2.39
Mn1 0.5000 0.5000 0.5000 x1  8 Hg 3.61, 4 Pd 3.83
Hg1 0.0000 0.5000 0.0000 x2  2 Sc 2.70
Pd1 0.0000 0.0000 0.5000 x1  2 Sc 2.39

- formation energy from the elements (kJ per mole of atoms) = 68
- electronic total energy (eV per atom) = -3.55
- crystal system = tetragonal
- V (A^3/atom) = 27.92
- spin magnetization (μB per formula unit) = 4.6

***

Below is TbMnHgPd after structural relaxation, with properties calculated at the GGA-PBE level.

a = 6.8926 Å, b = 6.8926 Å, c = 6.8926 Å
α = 90.00°, β = 90.00°, γ = 90.00°
Closest atoms and distances in Å follow each position.
Space group F-43m (No. 216)
Inequivalent atoms, fractional coordinates:
Tb1 0.0000 0.0000 0.0000 x4  4 Pd 2.98, 4 Hg 2.98
Mn1 0.0000 0.0000 0.5000 x4  4 Hg 2.98, 4 Pd 2.98
Hg1 0.2500 0.2500 0.2500 x4  4 Tb 2.98, 4 Mn 2.98
Pd1 0.2500 0.2500 0.7500 x4  4 Tb 2.98, 4 Mn 2.98

- formation energy from the elements (kJ per mole of atoms) = -26
- electronic total energy (eV per atom) = -5.10
- crystal system = cubic
- V (A^3/atom) = 20.47
- spin magnetization (μB per formula unit) = 4.3

***

Below is Pm2MnHg after structural relaxation, with properties calculated at the GGA-PBE level.

a = 3.6542 Å, b = 3.6542 Å, c = 7.7531 Å
α = 90.00°, β = 90.00°, γ = 90.00°
Closest atoms and distances in Å follow each position.
Space group P4/mmm (No. 123)
Inequivalent atoms, fractional coordinates:
Pm1 0.0000 0.0000 0.2335 x2  4 Mn 3.15, 4 Hg 3.31
Mn1 0.5000 0.5000 0.0000 x1  8 Pm 3.15
Hg1 0.5000 0.5000 0.5000 x1  8 Pm 3.31, 4 Hg 3.65

- formation energy from the elements (kJ per mole of atoms) = -10
- electronic total energy (eV per atom) = -4.85
- crystal system = tetragonal
- V (A^3/atom) = 25.88
- energy above the most stable polymorph in this dataset (meV per atom) = 0
- spin magnetization (μB per formula unit) = 3.0

***

Below is PmPrMnHg after structural relaxation, with properties calculated at the GGA-PBE level.

a = 7.5332 Å, b = 7.5332 Å, c = 7.5332 Å
α = 90.00°, β = 90.00°, γ = 90.00°
Closest atoms and distances in Å follow each position.
Space group F-43m (No. 216)
Inequivalent atoms, fractional coordinates:
Pm1 0.0000 0.0000 0.0000 x4  4 Hg 3.26, 4 Mn 3.26
Pr1 0.0000 0.0000 0.5000 x4  4 Hg 3.26, 4 Mn 3.26
Mn1 0.2500 0.2500 0.7500 x4  4 Pr 3.26, 4 Pm 3.26
Hg1 0.2500 0.2500 0.2500 x4  4 Pr 3.26, 4 Pm 3.26

- formation energy from the elements (kJ per mole of atoms) = -5
- electronic total energy (eV per atom) = -4.80
- crystal system = cubic
- V (A^3/atom) = 26.72
- spin magnetization (μB per formula unit) = 3.3

***

Below is Pr2MnHg after structural relaxation, with properties calculated at the GGA-PBE level.

a = 7.5894 Å, b = 7.5894 Å, c = 7.5894 Å
α = 90.00°, β = 90.00°, γ = 90.00°
Closest atoms and distances in Å follow each position.
Space group Fm-3m (No. 225)
Inequivalent atoms, fractional coordinates:
Pr1 0.2500 0.2500 0.2500 x8  4 Hg 3.29, 4 Mn 3.29
Mn1 0.0000 0.0000 0.0000 x4  8 Pr 3.29
Hg1 0.0000 0.0000 0.5000 x4  8 Pr 3.29

- formation energy from the elements (kJ per mole of atoms) = -4
- electronic total energy (eV per atom) = -4.80
- crystal system = cubic
- V (A^3/atom) = 27.32
- energy above the most stable polymorph in this dataset (meV per atom) = 32
- spin magnetization (μB per formula unit) = 3.4

***

Below is Pr2MnHg after structural relaxation, with properties calculated at the GGA-PBE level.

a = 3.7240 Å, b = 3.7240 Å, c = 7.8251 Å
α = 90.00°, β = 90.00°, γ = 90.00°
Closest atoms and distances in Å follow each position.
Space group P4/mmm (No. 123)
Inequivalent atoms, fractional coordinates:
Pr1 0.0000 0.0000 0.2355 x2  4 Mn 3.21, 4 Hg 3.35
Mn1 0.5000 0.5000 0.0000 x1  8 Pr 3.21
Hg1 0.5000 0.5000 0.5000 x1  8 Pr 3.35, 4 Hg 3.72

- formation energy from the elements (kJ per mole of atoms) = -7
- electronic total energy (eV per atom) = -4.83
- crystal system = tetragonal
- V (A^3/atom) = 27.13
- energy above the most stable polymorph in this dataset (meV per atom) = 0
- spin magnetization (μB per formula unit) = 3.0

***

Below is MnHg2Pt after structural relaxation, with properties calculated at the GGA-PBE level.

a = 3.0395 Å, b = 4.8654 Å, c = 5.0872 Å
α = 90.00°, β = 91.40°, γ = 90.00°
Closest atoms and distances in Å follow each position.
Space group P2/m (No. 10)
Inequivalent atoms, fractional coordinates:
Mn1 0.0000 0.0000 0.0000 x1  4 Hg 2.86, 4 Pt 2.93-2.99, 2 Mn 3.04
Hg1 0.2611 0.5000 0.7505 x2  2 Pt 2.85, 2 Mn 2.86, 6 Hg 2.89-3.04
Pt1 0.5000 0.0000 0.5000 x1  4 Hg 2.85, 4 Mn 2.93-2.99, 2 Pt 3.04

- formation energy from the elements (kJ per mole of atoms) = 18
- electronic total energy (eV per atom) = -3.77
- crystal system = monoclinic
- V (A^3/atom) = 18.80
- energy above the most stable polymorph in this dataset (meV per atom) = 165
- spin magnetization (μB per formula unit) = 4.2

***

Below is MnHgPt2 after structural relaxation, with properties calculated at the GGA-PBE level.

a = 2.9734 Å, b = 2.9734 Å, c = 7.5041 Å
α = 90.00°, β = 90.00°, γ = 90.00°
Closest atoms and distances in Å follow each position.
Space group P4/mmm (No. 123)
Inequivalent atoms, fractional coordinates:
Mn1 0.0000 0.0000 0.0000 x1  8 Pt 2.68, 4 Mn 2.97
Hg1 0.0000 0.0000 0.5000 x1  8 Pt 2.97, 4 Hg 2.97
Pt1 0.5000 0.5000 0.2209 x2  4 Mn 2.68, 4 Hg 2.97, 4 Pt 2.97

- formation energy from the elements (kJ per mole of atoms) = -20
- electronic total energy (eV per atom) = -5.60
- crystal system = tetragonal
- V (A^3/atom) = 16.59
- spin magnetization (μB per formula unit) = 4.3

***

Below is MnHgPt2 after structural relaxation, with properties calculated at the GGA-PBE level.

a = 7.2827 Å, b = 7.2827 Å, c = 5.4965 Å
α = 90.00°, β = 90.00°, γ = 90.00°
Closest atoms and distances in Å follow each position.
Space group I-42d (No. 122)
Inequivalent atoms, fractional coordinates:
Mn1 0.0000 0.0000 0.0000 x4  4 Pt 2.54, 2 Hg 2.75
Hg1 0.0000 0.0000 0.5000 x4  2 Mn 2.75, 4 Pt 2.80
Pt1 0.2232 0.2500 0.1250 x8  2 Mn 2.54, 2 Pt 2.78, 2 Hg 2.80

- formation energy from the elements (kJ per mole of atoms) = 13
- electronic total energy (eV per atom) = -5.26
- crystal system = tetragonal
- V (A^3/atom) = 18.22
- spin magnetization (μB per formula unit) = 4.5